1.
The following is a PBE-GGA calculation of an optimized crystal structure of Ba2LaHg, from the Alexandria database.

Cell and atoms, written as extended XYZ:
```
4
Lattice="-1.8294 3.8527 1.6473 -3.4164 0.3592 -4.6340 -4.1935 -3.2068 2.8430" Properties=species:S:1:pos:R:3 pbc="T T T"
Ba 0.0000 0.0000 0.0000
La -3.8049 -1.4238 -0.8955
Hg -3.0114 0.3230 2.2452
Ba -2.6229 2.1059 -1.4933
```

Values from the calculation:
Space group: Pmmm
Final energy in eV per formula unit: -9.1

---

2.
The following is a PBE-GGA calculation of an optimized crystal structure of Ba12Li3Pd5, from the Alexandria database.

Cell and atoms, written as extended XYZ:
```
80
Lattice="17.3231 0.0000 0.0000 -5.7744 16.3324 0.0000 -5.7744 -8.1662 14.1442" Properties=species:S:1:pos:R:3 pbc="T T T"
Ba 7.2500 2.3777 1.6403
Li 7.2180 1.0208 5.3041
Ba 3.7847 10.3395 1.2863
Ba 6.4633 6.9126 11.2649
Li -7.2180 8.1662 10.6082
Ba 7.2500 12.4810 4.1928
Pd 10.1051 -1.0208 8.8402
Ba 7.1859 -1.4737 8.3111
Ba 8.8365 14.6427 0.3540
Ba -0.8975 5.9929 1.2863
Ba 7.9726 9.1289 7.4262
Ba -5.5994 6.4765 13.7902
Pd 0.0000 0.0000 0.0000
Li 1.4436 -1.0208 5.3041
Pd 4.3308 12.2493 3.5361
Pd 4.3308 3.0623 1.7680
Pd -1.4436 1.0208 8.8402
Ba 1.9897 2.2006 12.9052
Ba -7.1859 4.3148 9.9515
Pd -1.4436 4.0831 3.5361
Ba 3.5761 2.2163 4.5468
Ba 6.6719 -2.2006 12.9052
Ba 9.3505 -1.2536 2.8793
Ba -0.8975 10.3668 1.2390
Pd -1.4436 13.2700 1.7680
Pd 7.2180 -5.1039 12.3762
Ba 12.4462 8.1935 2.5253
Pd 7.2180 7.1454 5.3041
Ba 5.5994 2.9317 8.3584
Li -1.4436 7.1454 8.8402
Ba 12.9603 3.8514 4.1928
Ba 2.7123 11.0978 5.7858
Pd 5.7744 8.1662 0.0000
Ba -0.6890 1.2536 2.8793
Ba 3.7847 5.9656 1.2390
Pd 5.7744 -4.0831 7.0721
Ba 10.8598 0.9627 6.7181
Ba -3.5761 9.4198 11.2649
Ba 8.8365 4.6213 5.4318
Pd 1.4436 -4.0831 10.6082
Li -4.3308 3.0623 12.3762
Pd -4.3308 9.1870 5.3041
Li -4.3308 -3.0623 12.3762
Ba 0.6890 10.3825 9.5974
Ba -5.0854 7.2035 7.4262
Pd -2.8872 -4.0831 7.0721
Pd 7.2180 4.0831 10.6082
Ba 1.4756 1.4737 8.3111
Ba -2.1982 -0.9627 6.7181
Ba 10.1372 -5.7885 12.5039
Ba 11.3738 1.6897 0.3540
Li 10.1051 11.2285 1.7680
Ba -4.3628 13.9546 1.6403
Ba -1.4756 -4.3148 9.9515
Ba 3.0621 -2.9317 8.3584
Ba -1.4115 9.6399 5.8331
Ba 0.1749 5.2345 5.7858
Li 10.1051 5.1039 1.7680
Pd 1.4436 5.1039 12.3762
Ba -1.4756 5.7885 12.5039
Ba -6.6719 -0.0273 11.6189
Ba -5.9493 11.7110 5.4318
Ba -1.9897 0.0273 11.6189
Pd 8.6615 0.0000 0.0000
Ba 6.6719 2.1733 12.8580
Ba -3.0621 3.5449 8.7124
Ba 7.7640 8.1389 2.5253
Ba 1.9897 -2.1733 12.8580
Ba 2.1982 5.9499 9.5974
Pd 2.8872 4.0831 7.0721
Ba 5.0854 -2.2163 4.5468
Li 12.9923 0.0000 3.5361
Pd -5.7744 4.0831 7.0721
Li 4.3308 0.0000 10.6082
Pd -2.8872 8.1662 0.0000
Ba 11.7237 -3.5449 8.7124
Li 1.4436 8.1662 3.5361
Ba -3.0621 -6.4765 13.7902
Li 4.3308 9.1870 8.8402
Ba 4.2987 6.6925 5.8331
```

Values from the calculation:
Space group: Ia-3d
Final energy in eV per formula unit: -57.2

---

Values of V, in order: 39.534; 50.022, all in Å³ per atom.
Values of N(E_F), in order: 4.7; 75.6, all in states/eV/cell.